Crystalline AsWSe2F at its relaxed geometry, computed with PBE with a Hubbard U.

Lattice parameters (Å, degrees): 4.8789 4.8789 4.9881 90.00 90.00 90.00
Last column: nearest neighbours and their distance in Å.
Atoms (fractional coordinates):
1 As 0.0000 0.0000 0.0000  2 W 2.49
2 W 0.0000 0.0000 0.5000  4 Se 2.44, 2 As 2.49
3 Se 0.0000 0.5000 0.5000  2 W 2.44
4 Se 0.5000 0.0000 0.5000  2 W 2.44
5 F 0.5000 0.5000 0.0000  4 As 3.45, 8 Se 3.49

Properties
Theoretical density   6.09 g/cm³
Energy relative to the lowest polymorph listed for this composition   0.0000 eV per atom